No. 1
# NaLi2DyF6

Crystalline NaLi2DyF6 at its relaxed geometry (GGA-PBE, Alexandria). Values from VASP.

The structure in Quantum ESPRESSO input format:
```
&SYSTEM
  ibrav = 0, nat = 10, ntyp = 4
/
ATOMIC_SPECIES
Na 22.99 Na.upf
Li 6.94 Li.upf
Dy 162.50 Dy.upf
F 19.00 F.upf
CELL_PARAMETERS angstrom
2.729 1.576 4.792
-2.729 1.576 4.792
0.000 -3.151 4.792
ATOMIC_POSITIONS angstrom
Na 0.000 0.000 0.000
Li 0.000 0.000 4.073
Li 0.000 0.000 11.259
Dy 0.000 0.000 7.140
F -1.577 -0.241 5.594
F -1.045 -1.743 7.924
F 0.997 -1.245 5.594
F -0.987 1.777 7.924
F 0.580 1.487 5.594
F 2.032 -0.034 7.924
```

Values from the calculation:
DFT total energy: -0.20043 Ha/atom
magnetization: 0.000 μB per atom

No. 2
# LiDyPbF6

Crystalline LiDyPbF6 at its relaxed geometry (GGA-PBE, Alexandria). Values from VASP.

The structure in Quantum ESPRESSO input format:
```
&SYSTEM
  ibrav = 0, nat = 18, ntyp = 4
/
ATOMIC_SPECIES
Li 6.94 Li.upf
Dy 162.50 Dy.upf
Pb 207.20 Pb.upf
F 19.00 F.upf
CELL_PARAMETERS angstrom
5.607 0.000 0.000
-2.804 4.856 0.000
0.000 0.000 10.663
ATOMIC_POSITIONS angstrom
Li 0.000 3.237 2.666
Li 2.804 1.619 7.997
Dy 0.000 3.237 7.997
Dy 2.804 1.619 2.666
Pb 0.000 0.000 0.000
Pb 0.000 0.000 5.332
F -0.953 1.763 1.503
F -1.753 3.150 3.829
F 0.953 1.763 3.829
F -0.801 4.800 1.503
F 2.003 0.056 6.834
F 1.050 1.706 9.160
F 1.753 3.150 1.503
F 0.801 4.800 3.829
F 3.605 0.056 9.160
F 1.851 3.093 6.834
F 4.557 1.706 6.834
F 3.756 3.093 9.160
```

Values from the calculation:
DFT total energy: -0.20716 Ha/atom
magnetization: 0.000 μB per atom

No. 3
# Rb3Li2DyF9

Crystalline Rb3Li2DyF9 at its relaxed geometry (GGA-PBE, Alexandria). Values from VASP.

The structure in Quantum ESPRESSO input format:
```
&SYSTEM
  ibrav = 0, nat = 15, ntyp = 4
/
ATOMIC_SPECIES
Rb 85.47 Rb.upf
Li 6.94 Li.upf
Dy 162.50 Dy.upf
F 19.00 F.upf
CELL_PARAMETERS angstrom
6.012 0.000 0.000
-3.006 5.207 0.000
0.000 0.000 7.623
ATOMIC_POSITIONS angstrom
Rb 0.000 0.000 0.000
Rb 0.000 3.471 5.287
Rb 3.006 1.736 2.336
Li 0.000 3.471 1.453
Li 3.006 1.736 6.170
Dy 0.000 0.000 3.811
F -1.503 2.603 0.000
F 0.000 1.762 2.524
F -1.480 4.326 2.524
F 1.526 0.881 5.099
F 3.006 0.000 0.000
F 1.503 2.603 0.000
F 1.480 4.326 2.524
F 4.486 0.881 5.099
F 3.006 3.445 5.099
```

Values from the calculation:
DFT total energy: -0.17839 Ha/atom
magnetization: 0.078 μB per atom

No. 4
# RbLiDyF5

Crystalline RbLiDyF5 at its relaxed geometry (GGA-PBE, Alexandria). Values from VASP.

The structure in Quantum ESPRESSO input format:
```
&SYSTEM
  ibrav = 0, nat = 16, ntyp = 4
/
ATOMIC_SPECIES
Rb 85.47 Rb.upf
Li 6.94 Li.upf
Dy 162.50 Dy.upf
F 19.00 F.upf
CELL_PARAMETERS angstrom
3.765 -5.088 0.000
3.765 5.088 0.000
-3.329 0.000 7.659
ATOMIC_POSITIONS angstrom
Rb 1.268 3.441 5.744
Rb 2.932 -3.441 1.915
Li 2.932 3.191 1.915
Li 1.268 -3.191 5.744
Dy 3.765 0.000 0.000
Dy 2.100 0.000 3.830
F -1.496 0.682 6.894
F 1.797 2.006 2.994
F 0.168 -0.682 3.065
F 4.067 2.006 0.835
F 1.268 0.681 5.744
F 2.932 -0.681 1.915
F 0.133 -2.006 6.824
F 4.032 0.682 4.594
F 2.403 -2.006 4.665
F 5.696 -0.682 0.765
```

Values from the calculation:
DFT total energy: -0.20607 Ha/atom
magnetization: 0.022 μB per atom